# 1
A geometry-optimized LaMgCoSn structure, computed with PBE-GGA.

* crystal system: cubic
* distance to the lowest polymorph of the same formula: 108 meV per atom
* uncorrected energy: -4.47 eV/atom
* V: 358 Å³/cell

Lattice parameters (Å, degrees): 7.102 7.102 7.102 90.00 90.00 90.00
Space group F-43m (No. 216)
Asymmetric unit:
La1 0.000 0.000 0.000 (multiplicity 4)
Mg1 0.000 0.000 0.500 (multiplicity 4)
Co1 0.250 0.250 0.750 (multiplicity 4)
Sn1 0.250 0.250 0.250 (multiplicity 4)

# 2
A geometry-optimized PrSmGa5 structure, computed with PBE-GGA.

* crystal system: tetragonal
* uncorrected energy: -3.92 eV/atom
* V: 162 Å³/cell

Lattice parameters (Å, degrees): 4.315 4.315 8.723 90.00 90.00 90.00
Space group P4/mmm (No. 123)
Asymmetric unit:
Pr1 0.000 0.000 0.000 (multiplicity 1)
Sm1 0.000 0.000 0.500 (multiplicity 1)
Ga1 0.000 0.500 0.256 (multiplicity 4)
Ga2 0.500 0.500 0.000 (multiplicity 1)